Entry 1:
Density functional theory data (PBE) for a geometry-optimized CeYMg17 structure.

a b c (Å): 7.7883 7.7883 7.7883
angles (deg): 82.21 82.21 82.21
Fractional positions:
Ce 0.0000 0.0000 0.0000
Y 0.3393 0.3393 0.3393
Mg 0.0216 0.0216 0.5041
Mg 0.0216 0.5041 0.0216
Mg 0.1663 0.6717 0.6717
Mg 0.3182 0.3182 0.8245
Mg 0.3182 0.8245 0.3182
Mg 0.3658 0.6672 0.9732
Mg 0.3658 0.9732 0.6672
Mg 0.5041 0.0216 0.0216
Mg 0.5685 0.5685 0.5685
Mg 0.6672 0.3658 0.9732
Mg 0.6672 0.9732 0.3658
Mg 0.6717 0.1663 0.6717
Mg 0.6717 0.6717 0.1663
Mg 0.7667 0.7667 0.7667
Mg 0.8245 0.3182 0.3182
Mg 0.9732 0.3658 0.6672
Mg 0.9732 0.6672 0.3658

Output
E (eV/cell): -39.8
Formation energy (eV/atom): -0.016
DOS at the Fermi energy (states/eV/atom): 0.793

=====

Entry 2:
Density functional theory data (PBE) for a geometry-optimized MoOs3Cl structure.

a b c (Å): 4.3314 4.3314 4.3314
angles (deg): 90.00 90.00 90.00
Fractional positions:
Mo 0.0000 0.0000 0.0000
Os 0.0000 0.5000 0.5000
Os 0.5000 0.0000 0.5000
Os 0.5000 0.5000 0.0000
Cl 0.5000 0.5000 0.5000

Output
E (eV/cell): -36.7
Distance to the lowest polymorph of the same formula (eV per atom): 0.000
Uncorrected formation energy (eV per atom): 1.932
DOS at the Fermi energy (states/eV/atom): 1.114